Record 1
A geometry-optimized HoPa2Pt9 structure. Source: Alexandria via LeMat-Bulk, functional GGA-PBE.

Calculated values
Formation energy: -99 kJ/mol of atoms
D(E_F): 8.39 states/eV per cell
DFT total energy: -7.518 eV/atom
Volume: 215 Å³/f.u.

```
HoPa2Pt9
1.0
4.163 0.000 0.000
0.000 4.163 0.000
0.000 0.000 12.424
Ho Pa Pt
1 2 9
Cartesian
0.000 0.000 0.000
0.000 0.000 4.104
0.000 0.000 8.320
0.000 2.082 2.076
0.000 2.082 6.212
0.000 2.082 10.348
2.082 0.000 2.076
2.082 0.000 6.212
2.082 0.000 10.348
2.082 2.082 0.000
2.082 2.082 4.128
2.082 2.082 8.296
```

---

Record 2
A geometry-optimized NdAl2Ni3 structure. Source: Alexandria via LeMat-Bulk, functional GGA-PBE.

Calculated values
Formation energy: -49 kJ/mol of atoms
D(E_F): 7.35 states/eV per cell
DFT total energy: -5.442 eV/atom
Volume: 96 Å³/f.u.

```
NdAl2Ni3
1.0
4.782 -3.860 0.000
4.782 3.860 0.000
0.000 0.000 5.219
Nd Al Ni
2 4 6
Cartesian
4.782 2.430 3.915
4.782 -2.430 1.305
2.733 0.000 0.000
2.733 0.000 2.610
6.830 0.000 0.000
6.830 0.000 2.610
3.150 2.162 1.305
6.414 2.162 1.305
4.782 0.415 1.305
4.782 -0.415 3.915
3.150 -2.162 3.915
6.414 -2.162 3.915
```

---

Record 3
A geometry-optimized BaN3F12 structure. Source: Alexandria via LeMat-Bulk, functional GGA-PBE.

Calculated values
ΔE_f (raw): -0.922 eV per atom
D(E_F): 12.77 states/eV per cell
DFT total energy: -4.007 eV/atom
Volume: 348 Å³/f.u.

```
BaN3F12
1.0
3.844 2.219 13.595
-3.844 2.219 13.595
0.000 -4.438 13.595
Ba N F
2 6 24
Cartesian
0.000 0.000 0.000
0.000 0.000 20.393
-1.079 -1.679 16.537
-2.929 -0.445 23.335
-0.915 1.774 16.537
1.850 -2.314 23.335
1.994 -0.095 16.537
1.079 2.759 23.335
-2.501 0.768 11.127
-1.050 -3.104 16.508
-0.971 -2.273 13.589
-1.530 0.818 9.183
0.057 -1.734 9.183
-1.343 -1.451 17.925
0.585 -2.550 11.127
-2.361 -0.241 20.387
-1.483 1.978 13.589
-2.163 2.462 16.508
-1.680 0.243 23.306
1.473 0.916 9.183
-0.585 1.889 17.925
0.630 -1.577 23.306
1.390 -1.924 20.387
-0.057 -1.734 29.575
-1.473 0.916 29.575
1.916 1.782 11.127
1.928 -0.438 17.925
2.454 0.295 13.589
0.971 2.165 20.387
1.050 1.334 23.306
3.214 0.642 16.508
1.530 0.818 29.575
```

---

Record 4
A geometry-optimized HPdF2 structure. Source: Alexandria via LeMat-Bulk, functional GGA-PBE.

Calculated values
D(E_F): 3.21 states/eV per cell
DFT total energy: -3.985 eV/atom
Volume: 44 Å³/f.u.

```
HPdF2
1.0
1.463 0.844 5.947
-1.463 0.844 5.947
0.000 -1.689 5.947
H Pd F
1 1 2
Cartesian
0.000 0.000 0.000
0.000 0.000 8.920
0.000 0.000 1.147
0.000 0.000 16.693
```

---

Record 5
A geometry-optimized Ba12H5Pb3 structure. Source: Alexandria via LeMat-Bulk, functional GGA-PBE.

Calculated values
D(E_F): 59.87 states/eV per cell
DFT total energy: -2.893 eV/atom
Volume: 792 Å³/f.u.

```
Ba12H5Pb3
1.0
-9.252 9.252 9.252
9.252 -9.252 9.252
9.252 9.252 -9.252
Ba H Pb
48 20 12
Cartesian
2.867 -0.647 1.046
11.012 5.672 -5.273
12.119 0.647 1.046
11.012 -3.580 5.273
8.606 -1.046 2.867
14.526 -1.759 3.580
1.046 2.867 -0.647
12.833 3.979 -1.759
5.672 5.273 -1.759
8.206 2.867 0.647
-0.647 1.046 2.867
5.273 -1.759 5.672
8.606 8.206 -2.867
5.273 1.759 3.580
5.672 -5.273 11.012
8.206 -2.867 8.606
3.580 5.273 1.759
10.299 6.386 0.647
5.273 11.012 -3.580
8.606 1.046 6.386
2.867 8.606 -1.046
11.012 3.580 3.979
1.759 3.580 5.273
2.867 0.647 8.206
6.386 8.606 1.046
7.493 5.672 3.979
-1.759 5.672 5.273
6.386 0.647 10.299
0.647 8.206 2.867
3.979 -1.759 12.833
-1.046 2.867 8.606
5.672 3.979 7.493
1.046 12.119 0.647
3.580 14.526 -1.759
3.979 7.493 5.672
0.647 1.046 12.119
3.979 11.012 3.580
9.899 8.206 6.386
1.046 6.386 8.606
3.580 3.979 11.012
-3.580 5.273 11.012
8.206 6.386 9.899
-5.273 11.012 5.672
0.647 10.299 6.386
-1.759 12.833 3.979
-2.867 8.606 8.206
-1.759 3.580 14.526
6.386 9.899 8.206
0.000 0.000 0.000
4.626 4.626 -4.626
4.626 -4.626 4.626
9.252 0.000 0.000
13.879 2.313 0.000
9.252 -4.626 6.939
6.939 9.252 -4.626
6.939 0.000 4.626
4.626 6.939 0.000
9.252 4.626 2.313
-4.626 4.626 4.626
0.000 9.252 0.000
0.000 0.000 9.252
4.626 4.626 4.626
0.000 4.626 6.939
4.626 2.313 9.252
2.313 9.252 4.626
2.313 0.000 13.879
0.000 13.879 2.313
-4.626 6.939 9.252
4.626 2.313 0.000
9.252 4.626 -2.313
2.313 0.000 4.626
11.566 0.000 4.626
0.000 4.626 2.313
4.626 -2.313 9.252
4.626 11.566 0.000
9.252 4.626 6.939
-2.313 9.252 4.626
6.939 9.252 4.626
0.000 4.626 11.566
4.626 6.939 9.252
```

---

Record 6
A geometry-optimized ZrCu2Mo structure. Source: Alexandria via LeMat-Bulk, functional GGA-PBE.

Calculated values
Formation energy: 18 kJ/mol of atoms
D(E_F): 3.75 states/eV per cell
DFT total energy: -6.704 eV/atom
Volume: 63 Å³/f.u.

```
ZrCu2Mo
1.0
-1.929 1.929 4.200
1.929 -1.929 4.200
1.929 1.929 -4.200
Zr Cu Mo
1 2 1
Cartesian
0.000 0.000 0.000
1.929 0.000 2.100
0.000 0.000 4.200
0.000 1.929 2.100
```

---

Record 7
A geometry-optimized TeOs3Pd structure. Source: Alexandria via LeMat-Bulk, functional GGA-PBE.

Calculated values
ΔE_f (raw): 2.521 eV per atom
D(E_F): 6.78 states/eV per cell
DFT total energy: -5.884 eV/atom
Volume: 109 Å³/f.u.

```
TeOs3Pd
1.0
4.783 0.000 0.000
0.000 4.783 0.000
0.000 0.000 4.783
Te Os Pd
1 3 1
Cartesian
0.000 0.000 0.000
0.000 0.000 2.392
0.000 2.392 0.000
2.392 0.000 0.000
2.392 2.392 2.392
```

---

Record 8
A geometry-optimized TcTe2W structure. Source: Alexandria via LeMat-Bulk, functional GGA-PBE.

Calculated values
ΔE_f (raw): 1.129 eV per atom
D(E_F): 4.96 states/eV per cell
DFT total energy: -6.271 eV/atom
Volume: 79 Å³/f.u.

```
TcTe2W
1.0
0.000 3.410 3.410
3.410 0.000 3.410
3.410 3.410 0.000
Tc Te W
1 2 1
Cartesian
0.000 0.000 0.000
1.705 1.705 1.705
3.410 3.410 3.410
5.115 5.115 5.115
```